! LiAg5Te3 (PBE-GGA, relaxed); values from VASP
&SYSTEM
  ibrav = 0, nat = 18, ntyp = 3
/
ATOMIC_SPECIES
Li 6.94 Li.upf
Ag 107.87 Ag.upf
Te 127.60 Te.upf
CELL_PARAMETERS angstrom
6.5131 0.0000 0.0000
-3.2566 7.1704 -2.3106
0.0000 0.0492 9.5380
ATOMIC_POSITIONS angstrom
Li 5.0132 0.0369 7.1535
Li 1.4999 0.0123 2.3845
Ag 1.7377 0.0369 7.1535
Ag 1.7227 4.7025 7.1014
Ag 4.9054 2.3506 0.4634
Ag 1.5338 2.5172 0.1260
Ag 1.6488 4.8444 1.9950
Ag 4.7755 0.0123 2.3845
Ag -1.7227 4.6779 2.3324
Ag 4.9793 2.5418 4.8950
Ag 1.6077 2.3752 5.2324
Ag -1.6488 4.8690 6.7640
Te 0.0000 0.0000 0.0000
Te 3.0654 2.3589 2.6490
Te 0.0000 0.0246 4.7690
Te 0.1911 4.8607 4.5784
Te 3.4477 2.3835 7.4180
Te -0.1911 4.8361 -0.1906
! VASP energy (eV/atom): -3.047
! V (Å³/cell): 446
! Raw formation energy (eV/atom): -0.203

! LiAg3Te4 (PBE-GGA, relaxed); values from VASP
&SYSTEM
  ibrav = 0, nat = 16, ntyp = 3
/
ATOMIC_SPECIES
Li 6.94 Li.upf
Ag 107.87 Ag.upf
Te 127.60 Te.upf
CELL_PARAMETERS angstrom
8.2547 0.0000 0.0000
0.0000 4.9943 0.0000
0.0000 0.0000 11.0529
ATOMIC_POSITIONS angstrom
Li 8.0999 2.2029 0.0000
Li 3.9726 2.7914 5.5264
Ag 4.0811 4.5373 0.0000
Ag 8.0771 3.7069 3.1025
Ag 3.9497 1.2874 2.4239
Ag 8.2085 0.4570 5.5264
Ag 3.9497 1.2874 8.6290
Ag 8.0771 3.7069 7.9504
Te 1.2630 4.6272 0.0000
Te 5.3886 2.0987 0.0000
Te 1.1427 1.2062 2.5217
Te 5.2700 3.7881 3.0047
Te 1.2612 2.8956 5.5264
Te 5.3904 0.3672 5.5264
Te 5.2700 3.7881 8.0481
Te 1.1427 1.2062 8.5312
! VASP energy (eV/atom): -3.058
! V (Å³/cell): 456
! Raw formation energy (eV/atom): -0.178

! LiAg3Te3 (PBE-GGA, relaxed); values from VASP
&SYSTEM
  ibrav = 0, nat = 14, ntyp = 3
/
ATOMIC_SPECIES
Li 6.94 Li.upf
Ag 107.87 Ag.upf
Te 127.60 Te.upf
CELL_PARAMETERS angstrom
-3.0385 5.8669 -3.7493
-6.7321 2.7972 2.1367
0.0972 7.5109 3.9781
ATOMIC_POSITIONS angstrom
Li -3.1726 10.3811 3.4232
Li -6.5007 5.7940 -1.0577
Ag -6.6983 9.5463 2.3553
Ag -3.2171 9.5838 -0.2687
Ag -3.4948 6.6484 2.9425
Ag -6.1786 9.5266 -0.5770
Ag -6.4562 6.5913 2.6342
Ag -2.9751 6.6287 0.0102
Te -4.7978 4.7992 1.1698
Te -4.5328 7.7787 -2.0771
Te -8.0510 7.7267 0.5893
Te -1.6223 8.4484 1.7762
Te -5.1405 8.3964 4.4426
Te -4.8755 11.3758 1.1957
! VASP energy (eV/atom): -3.026
! V (Å³/cell): 364
! Raw formation energy (eV/atom): -0.184

! Li2AgTe2 (PBE-GGA, relaxed); values from VASP
&SYSTEM
  ibrav = 0, nat = 5, ntyp = 3
/
ATOMIC_SPECIES
Te 127.60 Te.upf
Ag 107.87 Ag.upf
Li 6.94 Li.upf
CELL_PARAMETERS angstrom
-2.5080 -2.7738 -1.1912
2.3127 -0.7701 -3.0759
3.6473 -6.9207 1.9711
ATOMIC_POSITIONS angstrom
Te 0.8051 -3.0130 -1.1441
Te 2.6469 -7.4516 -1.1519
Ag 0.0000 0.0000 0.0000
Li 0.5208 -5.7332 -0.6768
Li 2.9312 -4.7314 -1.6192
! VASP energy (eV/atom): -2.899
! V (Å³/cell): 117
! Raw formation energy (eV/atom): -0.306